1.
12
Lattice="4.656 0.000 0.000 0.000 5.262 0.000 0.000 0.000 17.910" Properties=species:S:1:pos:R:3 comment="RbTlGa (PBE-GGA, relaxed)" delta_e_f_kj_per_mol_fu=-20 e_above_lowest_polymorph_ev_per_atom=0.009 magmom_total_mub_per_cell=0.00 crystal_system=orthorhombic dos_ef_per_ev_cell=4.35 pbc="T T T"
Rb 1.148 0.375 3.048
Rb 1.180 4.887 12.003
Rb 3.475 2.256 14.862
Rb 3.508 3.006 5.907
Tl 1.143 4.680 16.391
Tl 1.185 0.582 7.436
Tl 3.471 3.213 1.519
Tl 3.513 2.049 10.474
Ga 1.142 2.106 17.866
Ga 1.186 3.156 8.911
Ga 3.470 0.525 0.044
Ga 3.514 4.738 8.999


2.
14
Lattice="-2.659 6.154 7.170 2.659 -6.154 7.170 2.659 6.154 -7.170" Properties=species:S:1:pos:R:3 comment="Rb3Tl9Ga2 (PBE-GGA, relaxed)" delta_e_f_kj_per_mol_fu=-27 magmom_total_mub_per_cell=0.00 crystal_system=orthorhombic dos_ef_per_ev_cell=7.33 pbc="T T T"
Rb 0.000 0.000 0.000
Rb 0.000 0.000 4.209
Rb 0.000 0.000 10.132
Tl 2.659 1.737 -2.008
Tl 2.659 -2.626 5.166
Tl 2.659 1.737 2.008
Tl 0.000 3.528 2.005
Tl 0.000 6.154 0.000
Tl 2.659 2.626 5.166
Tl 0.000 4.417 5.163
Tl 0.000 8.781 2.005
Tl 0.000 4.417 9.178
Ga 2.659 4.008 0.000
Ga 0.000 2.146 7.170


3.
80
Lattice="-9.297 9.297 9.297 9.297 -9.297 9.297 9.297 9.297 -9.297" Properties=species:S:1:pos:R:3 comment="Rb3Tl12Ga5 (PBE-GGA, relaxed)" delta_e_f_kj_per_mol_fu=328 magmom_total_mub_per_cell=0.00 crystal_system=cubic dos_ef_per_ev_cell=62.66 pbc="T T T"
Rb 4.648 2.324 0.000
Rb 9.297 4.648 -2.324
Rb 2.324 0.000 4.648
Rb 11.621 0.000 4.648
Rb 0.000 4.648 2.324
Rb 4.648 -2.324 9.297
Rb 4.648 11.621 0.000
Rb 9.297 4.648 6.973
Rb -2.324 9.297 4.648
Rb 6.973 9.297 4.648
Rb 0.000 4.648 11.621
Rb 4.648 6.973 9.297
Tl 6.972 -5.763 5.880
Tl 16.270 1.231 -1.115
Tl 12.831 3.417 -2.325
Tl 10.412 -6.973 8.066
Tl 5.880 6.972 -5.763
Tl 8.066 -1.115 2.324
Tl 11.620 1.231 1.115
Tl 11.622 -3.534 5.880
Tl 8.066 10.412 -6.973
Tl 5.880 -2.325 5.763
Tl 5.763 5.880 -2.325
Tl 8.182 2.324 1.231
Tl 8.182 -2.324 8.066
Tl 15.060 3.417 2.325
Tl 8.066 8.182 -2.324
Tl 5.880 2.325 3.534
Tl 2.324 8.066 -1.115
Tl 11.622 3.534 3.417
Tl 5.880 11.622 -3.534
Tl 8.066 1.115 6.973
Tl 3.534 5.880 2.325
Tl 10.412 6.973 1.231
Tl 6.973 8.066 1.115
Tl 6.972 5.763 3.417
Tl 2.325 3.534 5.880
Tl 2.324 1.231 8.182
Tl -1.115 2.324 8.066
Tl 5.763 3.417 6.972
Tl 1.231 8.182 2.324
Tl 3.417 -2.325 12.831
Tl -2.325 5.763 5.880
Tl 6.973 1.231 10.412
Tl 3.417 6.972 5.763
Tl 1.231 1.115 11.620
Tl -5.763 5.880 6.972
Tl 1.115 11.620 1.231
Tl 1.115 6.973 8.066
Tl 3.534 3.417 11.622
Tl 3.417 11.622 3.534
Tl 1.231 -1.115 16.270
Tl -2.325 12.831 3.417
Tl -2.324 8.066 8.182
Tl 1.231 10.412 6.973
Tl 3.417 2.325 15.060
Tl -1.115 16.270 1.231
Tl -3.534 5.880 11.622
Tl -6.973 8.066 10.412
Tl 2.325 15.060 3.417
Ga 0.000 0.000 0.000
Ga 4.648 4.648 -4.648
Ga 4.648 -4.648 4.648
Ga 9.297 0.000 0.000
Ga 13.945 2.324 0.000
Ga 9.297 -4.648 6.973
Ga 6.973 9.297 -4.648
Ga 6.973 0.000 4.648
Ga 4.648 6.973 0.000
Ga 9.297 4.648 2.324
Ga -4.648 4.648 4.648
Ga 0.000 9.297 0.000
Ga 0.000 0.000 9.297
Ga 4.648 4.648 4.648
Ga 0.000 4.648 6.973
Ga 4.648 2.324 9.297
Ga 2.324 9.297 4.648
Ga 2.324 0.000 13.945
Ga 0.000 13.945 2.324
Ga -4.648 6.973 9.297


4.
9
Lattice="8.144 -5.277 0.000 8.144 5.277 0.000 -0.816 0.000 3.590" Properties=species:S:1:pos:R:3 comment="Rb2Tl6Ga (PBE-GGA, relaxed)" delta_e_f_kj_per_mol_fu=-6 magmom_total_mub_per_cell=0.00 crystal_system=monoclinic dos_ef_per_ev_cell=3.66 pbc="T T T"
Rb 2.171 0.000 0.153
Rb 13.300 0.000 3.436
Tl 4.716 1.621 2.673
Tl 7.735 2.469 1.795
Tl 4.716 -1.621 2.673
Tl 10.755 1.621 0.917
Tl 7.735 -2.469 1.795
Tl 10.755 -1.621 0.917
Ga 8.144 0.000 0.000


5.
7
Lattice="2.760 -7.634 0.000 2.760 7.634 0.000 0.000 0.000 5.110" Properties=species:S:1:pos:R:3 comment="RbTl4Ga2 (PBE-GGA, relaxed)" delta_e_f_kj_per_mol_fu=-4 magmom_total_mub_per_cell=0.00 crystal_system=orthorhombic dos_ef_per_ev_cell=2.55 pbc="T T T"
Rb 0.000 0.000 0.000
Tl 2.760 4.950 2.555
Tl 2.760 2.820 0.000
Tl 2.760 -2.820 0.000
Tl 2.760 -4.950 2.555
Ga 2.760 1.329 2.555
Ga 2.760 -1.329 2.555


6.
4
Lattice="0.000 3.851 3.851 3.851 0.000 3.851 3.851 3.851 0.000" Properties=species:S:1:pos:R:3 comment="RbTlGa2 (PBE-GGA, relaxed)" delta_e_f_kj_per_mol_fu=67 e_above_lowest_polymorph_ev_per_atom=0.137 magmom_total_mub_per_cell=0.00 crystal_system=cubic dos_ef_per_ev_cell=0.53 pbc="T T T"
Rb 0.000 0.000 0.000
Tl 3.851 3.851 3.851
Ga 1.926 1.926 1.926
Ga 5.777 5.777 5.777


7.
5
Lattice="5.803 0.000 0.000 0.000 5.803 0.000 0.000 0.000 4.975" Properties=species:S:1:pos:R:3 comment="RbTl2ZnGa (PBE-GGA, relaxed)" delta_e_f_kj_per_mol_fu=53 magmom_total_mub_per_cell=0.00 crystal_system=tetragonal dos_ef_per_ev_cell=2.51 pbc="T T T"
Rb 0.000 0.000 0.000
Tl 0.000 2.902 2.488
Tl 2.902 0.000 2.488
Zn 2.902 2.902 0.000
Ga 2.902 2.902 2.488


8.
8
Lattice="-6.630 6.630 2.539 6.630 -6.630 2.539 6.630 6.630 -2.539" Properties=species:S:1:pos:R:3 comment="Rb2VGa (PBE-GGA, relaxed)" delta_e_f_kj_per_mol_fu=287 e_above_lowest_polymorph_ev_per_atom=0.000 magmom_total_mub_per_cell=7.08 crystal_system=tetragonal dos_ef_per_ev_cell=17.36 pbc="T T T"
Rb 0.943 3.315 0.635
Rb -3.315 5.687 1.904
Rb -0.943 9.946 0.635
Rb 3.315 7.574 1.904
V 6.630 0.000 1.270
V 0.000 0.000 2.539
Ga 0.000 0.000 0.000
Ga 0.000 6.630 1.270